# 1
The following is a PBE-GGA calculation of Ti2SnSe2 after structural relaxation, from Alexandria via LeMat-Bulk.

Summary:
Offset from the most stable computed form: 0.00 kcal/mol of atoms
Magnetic moment: 0.000 Bohr magnetons per cell
SG: P4/mbm
Crystal system: tetragonal

POSCAR file:
```
Ti2SnSe2
1.0
7.538 0.000 0.000
0.000 7.538 0.000
0.000 0.000 3.302
Ti Se Sn
4 4 2
Direct
0.643 0.143 0.000
0.857 0.643 0.000
0.357 0.857 0.000
0.143 0.357 0.000
0.860 0.360 0.500
0.360 0.140 0.500
0.640 0.860 0.500
0.140 0.640 0.500
0.500 0.500 0.000
0.000 0.000 0.000
```

=====

# 2
The following is a PBE-GGA calculation of TiSnSe2 after structural relaxation, from Alexandria via LeMat-Bulk.

Summary:
Magnetic moment: 3.779 Bohr magnetons per cell
SG: I-42d
Crystal system: tetragonal

POSCAR file:
```
TiSnSe2
1.0
6.536 0.000 0.000
0.000 6.536 0.000
3.268 3.268 5.725
Sn Se Ti
2 4 2
Direct
0.000 0.000 0.000
0.750 0.250 0.500
0.375 0.434 0.750
0.875 0.816 0.750
0.184 0.625 0.250
0.566 0.125 0.250
0.250 0.750 0.500
0.500 0.500 0.000
```

=====

# 3
The following is a PBE-GGA calculation of Ti3SnSe after structural relaxation, from Alexandria via LeMat-Bulk.

Summary:
Offset from the most stable computed form: 28.66 kcal/mol of atoms
Magnetic moment: 5.988 Bohr magnetons per cell
SG: Pm-3m
Crystal system: cubic

POSCAR file:
```
Ti3SnSe
1.0
5.133 0.000 0.000
0.000 5.133 0.000
0.000 0.000 5.133
Sn Ti Se
1 3 1
Direct
0.000 0.000 0.000
0.000 0.500 0.000
0.500 0.000 0.000
0.000 0.000 0.500
0.500 0.500 0.500
```

=====

# 4
The following is a PBE-GGA calculation of TiSn2Se after structural relaxation, from Alexandria via LeMat-Bulk.

Summary:
Magnetic moment: 0.001 Bohr magnetons per cell
SG: I-42d
Crystal system: tetragonal

POSCAR file:
```
TiSn2Se
1.0
-3.621 4.935 -2.428
-5.497 -3.152 1.793
-4.393 3.655 5.050
Sn Ti Se
4 2 2
Direct
0.129 0.625 0.250
0.875 0.871 0.750
0.375 0.379 0.750
0.621 0.125 0.250
0.250 0.750 0.500
0.500 0.500 0.000
0.750 0.250 0.500
0.000 0.000 0.000
```

=====

# 5
The following is a PBE-GGA calculation of Ti3SnSe after structural relaxation, from Alexandria via LeMat-Bulk.

Summary:
Offset from the most stable computed form: 0.00 kcal/mol of atoms
Magnetic moment: 0.000 Bohr magnetons per cell
SG: C2/m
Crystal system: monoclinic

POSCAR file:
```
Ti3SnSe
1.0
-2.800 -1.820 -3.161
6.636 0.647 -2.906
2.029 -5.977 1.643
Sn Ti Se
2 6 2
Direct
0.612 0.225 0.400
0.388 0.775 0.600
0.267 0.534 0.164
0.188 0.375 0.550
0.812 0.625 0.450
0.021 0.043 0.286
0.733 0.466 0.836
0.979 0.957 0.714
0.870 0.739 0.069
0.130 0.261 0.931
```

=====

# 6
The following is a PBE-GGA calculation of TiSn3Se after structural relaxation, from Alexandria via LeMat-Bulk.

Summary:
Offset from the most stable computed form: 10.88 kcal/mol of atoms
Magnetic moment: 0.000 Bohr magnetons per cell
SG: Pm-3m
Crystal system: cubic

POSCAR file:
```
TiSn3Se
1.0
5.351 0.000 0.000
0.000 5.351 0.000
0.000 0.000 5.351
Sn Se Ti
3 1 1
Direct
0.000 0.000 0.500
0.500 0.000 0.000
0.000 0.500 0.000
0.000 0.000 0.000
0.500 0.500 0.500
```

=====

# 7
The following is a PBE-GGA calculation of TiSnSe4 after structural relaxation, from Alexandria via LeMat-Bulk.

Summary:
Magnetic moment: 0.000 Bohr magnetons per cell
SG: C2/m
Crystal system: monoclinic

POSCAR file:
```
TiSnSe4
1.0
3.635 0.000 0.000
0.000 6.650 0.065
0.000 -0.029 13.608
Se Ti Sn
8 2 2
Direct
0.000 0.307 0.116
0.000 0.345 0.614
0.500 0.845 0.114
0.500 0.193 0.384
0.000 0.693 0.884
0.500 0.807 0.616
0.000 0.655 0.386
0.500 0.155 0.886
0.000 0.000 0.000
0.500 0.500 0.500
0.500 0.500 0.000
0.000 0.000 0.500
```

=====

# 8
The following is a PBE-GGA calculation of TiTlSnSe2 after structural relaxation, from Alexandria via LeMat-Bulk.

Summary:
Magnetic moment: 0.000 Bohr magnetons per cell
SG: P4/mmm
Crystal system: tetragonal

POSCAR file:
```
TiTlSnSe2
1.0
5.407 0.000 0.000
0.000 5.265 0.000
0.000 0.000 5.407
Ti Se Sn Tl
1 2 1 1
Direct
0.000 0.500 0.000
0.500 0.000 0.000
0.000 0.000 0.500
0.500 0.500 0.500
0.000 0.000 0.000
```

=====

For each record above, in turn, the calculated raw formation energy values are -3.24, -1.68, 4.24, 1.52, -1.98, 4.01, -4.06, 4.29 eV/f.u..